NaMgV | PBE | relaxed

POSCAR file:
```
NaMgV
1.0
4.5153 -2.6069 0.0000
0.0000 5.2138 0.0000
0.0000 0.0000 2.9335
Na Mg V
1 1 1
Direct
0.6667 0.3333 0.5000
0.0000 0.0000 0.0000
0.3333 0.6667 0.0000
```

## Properties
DFT total energy, eV per atom: -3.2695
Energy above the lowest structure with this stoichiometry, eV per formula unit: 1.62
Energy of formation from the pure elements, eV per formula unit: 2.2
Crystal system: hexagonal

CsGeOs2Se | PBE | relaxed

POSCAR file:
```
CsGeOs2Se
1.0
-2.0782 2.4266 -3.5756
-4.9196 -3.0076 0.8182
-1.5056 3.3124 3.1230
Cs Ge Os Se
1 1 2 1
Direct
0.5000 0.5000 0.5000
0.0000 0.0000 0.0000
0.0000 0.0000 0.5000
0.5000 0.0000 0.0000
0.0000 0.5000 0.0000
```

## Properties
Formation energy without anion corrections, eV/atom: 1.445
DFT total energy, eV per atom: -4.8380
Crystal system: tetragonal

LaPSN2 | PBE | relaxed

POSCAR file:
```
LaPSN2
1.0
-0.3566 2.0610 -3.2868
2.8227 -2.1264 -1.6396
-3.0844 -2.9339 -1.5050
P S N La
1 1 2 1
Direct
0.0000 0.0000 0.0000
0.0000 0.0000 0.5000
0.0000 0.5000 0.0000
0.5000 0.0000 0.0000
0.5000 0.5000 0.5000
```

## Properties
Formation energy without anion corrections, eV/atom: -0.161
DFT total energy, eV per atom: -6.3841
Energy above the lowest structure with this stoichiometry, eV per formula unit: 0.00
Crystal system: tetragonal

SmY5Ho | PBE | relaxed

POSCAR file:
```
SmY5Ho
1.0
-2.7715 4.8051 -3.0604
-0.1730 -5.0032 -4.2977
-11.4905 -0.7955 2.5997
Sm Y Ho
2 10 2
Direct
0.0805 0.2500 0.8391
0.9195 0.7500 0.1609
0.2282 0.3581 0.0896
0.1776 0.5012 0.5893
0.3553 0.7500 0.2894
0.2331 0.9988 0.5893
0.3178 0.8581 0.9104
0.6822 0.1419 0.0896
0.7669 0.0012 0.4107
0.6447 0.2500 0.7106
0.8224 0.4988 0.4107
0.7718 0.6419 0.9104
0.3330 0.2500 0.3339
0.6670 0.7500 0.6661
```

## Properties
DFT total energy, eV per atom: -5.7405
Energy of formation from the pure elements, eV per formula unit: 1.4
Crystal system: monoclinic

Fe2SbAsRh | PBE | relaxed

POSCAR file:
```
Fe2SbAsRh
1.0
-0.7529 -3.7881 2.6463
0.5489 -3.0407 -4.1966
4.5945 -0.3275 0.8383
Sb As Rh Fe
1 1 1 2
Direct
0.0000 0.0000 0.0000
0.0000 0.5000 0.0000
0.5000 0.5000 0.5000
0.0000 0.0000 0.5000
0.5000 0.0000 0.0000
```

## Properties
Formation energy without anion corrections, eV/atom: 1.530
DFT total energy, eV per atom: -5.0801
Crystal system: tetragonal

CsSn2Au2 | PBE | relaxed

POSCAR file:
```
CsSn2Au2
1.0
-3.6525 -0.9571 2.9349
2.9939 -3.5218 2.5774
2.8247 6.4490 1.7221
Cs Sn Au
1 2 2
Direct
0.0000 0.0000 0.0000
0.6720 0.5936 0.3439
0.3280 0.4064 0.6561
0.2512 0.8446 0.5023
0.7488 0.1554 0.4977
```

## Properties
DFT total energy, eV per atom: -3.3903
Energy above the lowest structure with this stoichiometry, eV per formula unit: 0.00
Energy of formation from the pure elements, eV per formula unit: -1.5
Crystal system: monoclinic

What is the DFT total energy in the sixth record? -3.3903 eV per atom

Look up the DFT total energy of the sixth one. -3.3903 eV per atom